Computed, not measured: Dy2VO after structural relaxation at the GGA+U level of DFT.

Summary:
total magnetization = 0.7304 μB/atom
space group = R-3m (166)
calculated total energy = -6.0961 eV/atom
Fermi-level density of states = 2.2 states/eV/f.u.

extended XYZ file:
```
12
Lattice="3.3562 0.0000 0.0000 -1.6781 2.9066 0.0000 0.0000 0.0000 26.3070" Properties=species:S:1:pos:R:3 pbc="T T T"
Dy 0.0000 0.0000 2.9952
Dy 0.0000 0.0000 23.3118
Dy 0.0000 1.9377 14.5428
Dy 0.0000 1.9377 20.5333
Dy 1.6781 0.9689 5.7738
Dy 1.6781 0.9689 11.7642
V 0.0000 0.0000 0.0000
V 0.0000 1.9377 17.5380
V 1.6781 0.9689 8.7690
O 0.0000 0.0000 13.1535
O 0.0000 1.9377 4.3845
O 1.6781 0.9689 21.9225
```